No. 1
A geometry-optimized AgPRh3 structure, computed with PBE.

Lattice parameters (Å, degrees): 4.380 4.380 4.380 90.00 90.00 90.00
Space group Pm-3m (No. 221)
Symmetry-distinct sites (fractional):
Ag (0.000, 0.000, 0.000)
P (0.500, 0.500, 0.500)
Rh (0.000, 0.500, 0.500)

Computed properties:
- excess energy over the best structure of this formula in the dataset (eV/atom) = 0.000
- volume (Å³/atom) = 16.80
- formation energy (eV per atom) = 0.0292
- spin magnetization (μB per cell) = 0.0
- E (Ha/atom) = -0.222

No. 2
A geometry-optimized Cr4GaRh7 structure, computed with PBE.

Lattice parameters (Å, degrees): 4.935 4.998 7.129 89.10 75.71 82.72
Space group P-1 (No. 2)
Symmetry-distinct sites (fractional):
Cr (0.133, 0.325, 0.282)
Cr (0.318, 0.859, 0.710)
Ga (0.500, 0.500, 0.000)
Rh (0.003, 0.750, 0.052)
Rh (0.194, 0.835, 0.374)
Rh (0.304, 0.352, 0.590)
Rh (0.500, 0.000, 0.000)

Computed properties:
- volume (Å³/atom) = 14.08
- formation energy (eV per atom) = -0.0203
- spin magnetization (μB per cell) = 0.7
- E (Ha/atom) = -0.285

No. 3
A geometry-optimized Dy2Mg2Cd structure, computed with PBE.

Lattice parameters (Å, degrees): 4.978 15.501 3.364 90.00 90.00 90.00
Space group Cmmm (No. 65)
Symmetry-distinct sites (fractional):
Dy (0.000, 0.108, 0.000)
Mg (0.000, 0.300, 0.500)
Cd (0.000, 0.500, 0.500)

Computed properties:
- excess energy over the best structure of this formula in the dataset (eV/atom) = 0.018
- volume (Å³/atom) = 25.96
- formation energy (eV per atom) = -0.0947
- spin magnetization (μB per cell) = 0.1
- E (Ha/atom) = -0.101

No. 4
A geometry-optimized TaPtNO2 structure, computed with PBE.

Lattice parameters (Å, degrees): 3.878 3.878 4.293 90.00 90.00 90.00
Space group P4/mmm (No. 123)
Symmetry-distinct sites (fractional):
Ta (0.000, 0.000, 0.000)
Pt (0.500, 0.500, 0.500)
N (0.000, 0.000, 0.500)
O (0.000, 0.500, 0.000)

Computed properties:
- volume (Å³/atom) = 12.91
- spin magnetization (μB per cell) = 0.0
- raw formation energy (eV/atom) = -0.587
- E (Ha/atom) = -0.287

Q: Among the records above, which one has the highest spin magnetization?
A: Cr4GaRh7

Copy entry 2 word for word.
A geometry-optimized Cr4GaRh7 structure, computed with PBE.

Lattice parameters (Å, degrees): 4.935 4.998 7.129 89.10 75.71 82.72
Space group P-1 (No. 2)
Symmetry-distinct sites (fractional):
Cr (0.133, 0.325, 0.282)
Cr (0.318, 0.859, 0.710)
Ga (0.500, 0.500, 0.000)
Rh (0.003, 0.750, 0.052)
Rh (0.194, 0.835, 0.374)
Rh (0.304, 0.352, 0.590)
Rh (0.500, 0.000, 0.000)

Computed properties:
- volume (Å³/atom) = 14.08
- formation energy (eV per atom) = -0.0203
- spin magnetization (μB per cell) = 0.7
- E (Ha/atom) = -0.285

Copy entry 3 word for word.
A geometry-optimized Dy2Mg2Cd structure, computed with PBE.

Lattice parameters (Å, degrees): 4.978 15.501 3.364 90.00 90.00 90.00
Space group Cmmm (No. 65)
Symmetry-distinct sites (fractional):
Dy (0.000, 0.108, 0.000)
Mg (0.000, 0.300, 0.500)
Cd (0.000, 0.500, 0.500)

Computed properties:
- excess energy over the best structure of this formula in the dataset (eV/atom) = 0.018
- volume (Å³/atom) = 25.96
- formation energy (eV per atom) = -0.0947
- spin magnetization (μB per cell) = 0.1
- E (Ha/atom) = -0.101

Q: Which of these has the highest E?
A: Dy2Mg2Cd